Record 1
A plane-wave DFT calculation with PBE-GGA was carried out for a geometry-optimized KY2AsBr structure.

a = 5.357 Å, b = 5.650 Å, c = 5.357 Å
α = 90.00°, β = 90.00°, γ = 90.00°
Fractional positions:
Br1 0.000 0.000 0.000
Y1 0.500 0.000 0.000
Y2 0.000 0.000 0.500
As1 0.500 0.500 0.500
K1 0.000 0.500 0.000

Calculated values
Theoretical density in Mg/m³: 3.81
Energy relative to the lowest polymorph listed for this composition in kJ/mol of atoms: 0.0
Formation energy without anion corrections in eV/atom: -0.06

---

Record 2
A plane-wave DFT calculation with PBE-GGA was carried out for a geometry-optimized Mn2CuC structure.

a = 6.273 Å, b = 6.273 Å, c = 4.897 Å
α = 50.17°, β = 50.17°, γ = 90.00°
Each line ends with the local moment (μB).
Fractional positions:
Mn1 0.213 0.625 0.250  0.13
Mn2 0.875 0.787 0.750  0.13
Mn3 0.537 0.125 0.250  0.13
Mn4 0.375 0.463 0.750  0.13
Cu1 0.000 0.000 0.000  0.01
Cu2 0.750 0.250 0.500  0.01
C1 0.250 0.750 0.500  -0.01
C2 0.500 0.500 0.000  -0.01

Calculated values
Theoretical density in Mg/m³: 7.54
Energy relative to the lowest polymorph listed for this composition in kJ/mol of atoms: 34.9
ΔH_f (0 K) in eV per atom: 0.4522

---

Record 3
A plane-wave DFT calculation with PBE-GGA was carried out for a geometry-optimized SmYCdAu structure.

a = 5.243 Å, b = 5.243 Å, c = 5.243 Å
α = 60.00°, β = 60.00°, γ = 60.00°
Fractional positions:
Y1 0.000 0.000 0.000
Cd1 0.750 0.750 0.750
Sm1 0.500 0.500 0.500
Au1 0.250 0.250 0.250

Calculated values
Theoretical density in Mg/m³: 8.94
Energy relative to the lowest polymorph listed for this composition in kJ/mol of atoms: 2.7
ΔH_f (0 K) in eV per atom: -0.5489

---

Record 4
A plane-wave DFT calculation with PBE-GGA was carried out for a geometry-optimized CsMgInBr6 structure.

a = 7.042 Å, b = 7.042 Å, c = 8.246 Å
α = 90.02°, β = 89.98°, γ = 59.97°
Fractional positions:
Br1 0.629 0.374 0.690
Br2 0.629 0.998 0.310
Br3 0.997 0.629 0.690
Br4 0.998 0.374 0.310
Br5 0.374 0.629 0.310
Br6 0.374 0.998 0.690
Cs1 0.000 0.000 0.000
In1 0.333 0.333 0.500
Mg1 0.667 0.667 0.500

Calculated values
Theoretical density in Mg/m³: 3.52
Formation energy without anion corrections in eV/atom: -1.27

---

Record 5
A plane-wave DFT calculation with PBE-GGA was carried out for a geometry-optimized Dy2Nb2C3 structure.

a = 3.414 Å, b = 5.807 Å, c = 6.107 Å
α = 107.39°, β = 106.23°, γ = 90.00°
Fractional positions:
C1 0.746 0.268 0.492
C2 0.254 0.732 0.508
C3 0.000 0.000 0.000
Nb1 0.148 0.335 0.297
Nb2 0.852 0.665 0.703
Dy1 0.611 0.838 0.223
Dy2 0.389 0.162 0.777

Calculated values
Theoretical density in Mg/m³: 8.22
ΔH_f (0 K) in eV per atom: -0.4379

---

Record 6
A plane-wave DFT calculation with PBE-GGA was carried out for a geometry-optimized ZrPHO2 structure.

a = 4.038 Å, b = 4.038 Å, c = 5.686 Å
α = 90.00°, β = 90.00°, γ = 90.00°
Each line ends with the local moment (μB).
Fractional positions:
O1 0.000 0.500 0.000  0.09
O2 0.500 0.000 0.000  0.09
H1 0.500 0.500 0.500  0.20
Zr1 0.000 0.000 0.000  -0.01
P1 0.000 0.000 0.500  -0.53

Calculated values
Theoretical density in Mg/m³: 2.78
Energy relative to the lowest polymorph listed for this composition in kJ/mol of atoms: 0.0